A relaxed Cs3Co5F12 crystal, computed with PBE with a Hubbard U.

## Properties
**Space group**: Ia-3d
**Total energy**: -4.637 eV/atom

```
Cs3Co5F12
1.0
-7.083 7.083 7.083
7.083 -7.083 7.083
7.083 7.083 -7.083
Cs Co F
12 20 48
direct
0.125 0.250 0.375
0.125 0.375 0.750
0.250 0.375 0.125
0.250 0.875 0.625
0.375 0.125 0.250
0.375 0.750 0.125
0.625 0.250 0.875
0.625 0.875 0.750
0.750 0.125 0.375
0.750 0.625 0.875
0.875 0.625 0.250
0.875 0.750 0.625
0.000 0.000 0.000
0.000 0.000 0.500
0.000 0.500 0.000
0.000 0.500 0.500
0.125 0.750 0.875
0.125 0.875 0.250
0.250 0.125 0.875
0.250 0.625 0.375
0.375 0.250 0.625
0.375 0.625 0.750
0.500 0.000 0.000
0.500 0.000 0.500
0.500 0.500 0.000
0.500 0.500 0.500
0.625 0.375 0.250
0.625 0.750 0.375
0.750 0.375 0.625
0.750 0.875 0.125
0.875 0.125 0.750
0.875 0.250 0.125
0.007 0.689 0.105
0.007 0.818 0.902
0.084 0.682 0.689
0.084 0.902 0.395
0.098 0.605 0.916
0.098 0.993 0.182
0.105 0.007 0.689
0.105 0.598 0.416
0.182 0.098 0.993
0.182 0.584 0.189
0.189 0.182 0.584
0.189 0.507 0.605
0.311 0.895 0.993
0.311 0.916 0.318
0.318 0.311 0.916
0.318 0.507 0.402
0.395 0.084 0.902
0.395 0.811 0.493
0.402 0.318 0.507
0.402 0.584 0.895
0.416 0.105 0.598
0.416 0.811 0.818
0.493 0.395 0.811
0.493 0.598 0.682
0.507 0.402 0.318
0.507 0.605 0.189
0.584 0.189 0.182
0.584 0.895 0.402
0.598 0.416 0.105
0.598 0.682 0.493
0.605 0.189 0.507
0.605 0.916 0.098
0.682 0.493 0.598
0.682 0.689 0.084
0.689 0.084 0.682
0.689 0.105 0.007
0.811 0.493 0.395
0.811 0.818 0.416
0.818 0.416 0.811
0.818 0.902 0.007
0.895 0.402 0.584
0.895 0.993 0.311
0.902 0.007 0.818
0.902 0.395 0.084
0.916 0.098 0.605
0.916 0.318 0.311
0.993 0.182 0.098
0.993 0.311 0.895
```